VASP calculation (GGA-PBEsol) on a relaxed Li2AgSb crystal.

The structure in extended XYZ format:
```
4
Lattice="-1.263 3.768 1.612 2.033 -3.076 3.078 2.640 2.038 -2.696" Properties=species:S:1:pos:R:3 pbc="T T T"
Sb 0.000 0.000 0.000
Ag 0.689 2.903 -0.542
Li 2.682 0.932 -0.080
Li 0.729 1.798 2.073
```

Results
- Theoretical density: 5.90 Mg/m³
- Formation energy (no corrections): -1.7 eV/f.u.
- Symmetry: I4/mmm